(1)
Here is an optimized crystal structure of NaNb2H from Alexandria. Energies are from PBE.

Calculated values
volume: 148.80 Å³ per cell
excess energy over the best structure of this formula in the dataset: 0 meV per atom
SG: No. 141
crystal system: tetragonal
total magnetic moment: 0.000 μB per atom

a = 5.951 Å, b = 5.951 Å, c = 5.951 Å
α = 120.09°, β = 120.09°, γ = 89.84°
Atoms (fractional coordinates):
Na  0.375  0.625  0.750
Na  0.625  0.375  0.250
Nb  0.000  0.000  0.000
Nb  0.000  0.000  0.500
Nb  0.000  0.500  0.000
Nb  0.500  0.000  0.500
H  0.125  0.875  0.250
H  0.875  0.125  0.750

=====

(2)
Here is an optimized crystal structure of ZrSi from Alexandria. Energies are from PBE.

Calculated values
volume: 142.29 Å³ per cell
SG: No. 62
crystal system: orthorhombic
total magnetic moment: 0.000 μB per atom
formation energy from raw total energies: -0.935 eV/atom

a = 7.024 Å, b = 3.800 Å, c = 5.331 Å
α = 90.00°, β = 90.00°, γ = 90.00°
Atoms (fractional coordinates):
Zr  0.175  0.250  0.125
Zr  0.325  0.750  0.625
Zr  0.675  0.250  0.375
Zr  0.825  0.750  0.875
Si  0.043  0.250  0.638
Si  0.457  0.750  0.138
Si  0.543  0.250  0.862
Si  0.957  0.750  0.362

=====

(3)
Here is an optimized crystal structure of Ce4Tl5Tc from Alexandria. Energies are from PBE.

Calculated values
volume: 294.19 Å³ per cell
SG: No. 12
crystal system: monoclinic
total magnetic moment: 0.244 μB per atom
calculated formation energy: -47 meV per atom

a = 9.109 Å, b = 9.109 Å, c = 8.584 Å
α = 104.92°, β = 104.92°, γ = 25.36°
Atoms (fractional coordinates):
Ce  0.020  0.020  0.216
Ce  0.335  0.335  0.986
Ce  0.665  0.665  0.014
Ce  0.980  0.980  0.784
Tl  0.149  0.149  0.680
Tl  0.209  0.209  0.348
Tl  0.500  0.500  0.500
Tl  0.791  0.791  0.652
Tl  0.851  0.851  0.320
Tc  0.500  0.500  0.000

=====

(4)
Here is an optimized crystal structure of InPtI2O from Alexandria. Energies are from PBE.

Calculated values
volume: 135.18 Å³ per cell
excess energy over the best structure of this formula in the dataset: 460 meV per atom
SG: No. 123
crystal system: tetragonal
total magnetic moment: 0.138 μB per atom
formation energy from raw total energies: 0.293 eV/atom

a = 5.913 Å, b = 5.913 Å, c = 3.867 Å
α = 90.00°, β = 90.00°, γ = 90.00°
Atoms (fractional coordinates):
In  0.000  0.000  0.000
Pt  0.500  0.500  0.500
I  0.000  0.500  0.000
I  0.500  0.000  0.000
O  0.000  0.000  0.500

=====

(5)
Here is an optimized crystal structure of ScTc2B2 from Alexandria. Energies are from PBE.

Calculated values
volume: 116.20 Å³ per cell
SG: No. 127
crystal system: tetragonal
total magnetic moment: 0.000 μB per atom
calculated formation energy: -420 meV per atom

a = 6.133 Å, b = 6.133 Å, c = 3.089 Å
α = 90.00°, β = 90.00°, γ = 90.00°
Atoms (fractional coordinates):
Sc  0.000  0.000  0.000
Sc  0.500  0.500  0.000
Tc  0.167  0.333  0.500
Tc  0.333  0.833  0.500
Tc  0.667  0.167  0.500
Tc  0.833  0.667  0.500
B  0.108  0.608  0.000
B  0.392  0.108  0.000
B  0.608  0.892  0.000
B  0.892  0.392  0.000

=====

(6)
Here is an optimized crystal structure of FeRe2Rh from Alexandria. Energies are from PBE.

Calculated values
volume: 54.31 Å³ per cell
excess energy over the best structure of this formula in the dataset: 0 meV per atom
SG: No. 123
crystal system: tetragonal
total magnetic moment: 0.034 μB per atom
calculated formation energy: -9 meV per atom

a = 2.683 Å, b = 2.683 Å, c = 7.542 Å
α = 90.00°, β = 90.00°, γ = 90.00°
Atoms (fractional coordinates):
Fe  0.000  0.000  0.000
Re  0.500  0.500  0.235
Re  0.500  0.500  0.765
Rh  0.000  0.000  0.500

=====

(7)
Here is an optimized crystal structure of Th6Rh3Au from Alexandria. Energies are from PBE.

Calculated values
volume: 559.77 Å³ per cell
SG: No. 11
crystal system: monoclinic
total magnetic moment: 0.000 μB per atom
calculated formation energy: -590 meV per atom

a = 12.027 Å, b = 4.069 Å, c = 12.292 Å
α = 90.00°, β = 111.47°, γ = 90.00°
Atoms (fractional coordinates):
Th  0.034  0.250  0.376
Th  0.081  0.250  0.913
Th  0.248  0.250  0.706
Th  0.257  0.750  0.272
Th  0.429  0.250  0.093
Th  0.429  0.750  0.571
Th  0.571  0.250  0.429
Th  0.571  0.750  0.907
Th  0.743  0.250  0.728
Th  0.752  0.750  0.294
Th  0.919  0.750  0.087
Th  0.966  0.750  0.624
Rh  0.100  0.250  0.157
Rh  0.174  0.750  0.521
Rh  0.500  0.250  0.735
Rh  0.500  0.750  0.265
Rh  0.826  0.250  0.479
Rh  0.900  0.750  0.843
Au  0.284  0.750  0.904
Au  0.716  0.250  0.096

=====

(8)
Here is an optimized crystal structure of ReBr4 from Alexandria. Energies are from PBE.

Calculated values
volume: 148.03 Å³ per cell
excess energy over the best structure of this formula in the dataset: 4 meV per atom
SG: No. 87
crystal system: tetragonal
total magnetic moment: 0.079 μB per atom
formation energy from raw total energies: 0.125 eV/atom

a = 7.028 Å, b = 7.028 Å, c = 7.028 Å
α = 92.89°, β = 92.89°, γ = 154.05°
Atoms (fractional coordinates):
Re  0.000  0.000  0.000
Br  0.282  0.450  0.733
Br  0.450  0.718  0.168
Br  0.550  0.282  0.832
Br  0.718  0.550  0.267